Record 1
A plane-wave DFT calculation with PBE was carried out for a geometry-optimized Y3Ga5Rh6 structure.

abc: 4.253 12.943 8.874
angles: 90.00 90.00 90.00
Sites, in units of the cell vectors:
1 Y 0.250 0.054 0.248
2 Y 0.250 0.446 0.248
3 Y 0.250 0.750 0.224
4 Y 0.750 0.250 0.776
5 Y 0.750 0.554 0.752
6 Y 0.750 0.946 0.752
7 Ga 0.250 0.098 0.874
8 Ga 0.250 0.402 0.874
9 Ga 0.250 0.633 0.520
10 Ga 0.250 0.750 0.796
11 Ga 0.250 0.867 0.520
12 Ga 0.750 0.133 0.480
13 Ga 0.750 0.250 0.204
14 Ga 0.750 0.367 0.480
15 Ga 0.750 0.598 0.126
16 Ga 0.750 0.902 0.126
17 Rh 0.250 0.059 0.595
18 Rh 0.250 0.250 0.050
19 Rh 0.250 0.250 0.417
20 Rh 0.250 0.441 0.595
21 Rh 0.250 0.587 0.976
22 Rh 0.250 0.913 0.976
23 Rh 0.750 0.087 0.024
24 Rh 0.750 0.413 0.024
25 Rh 0.750 0.559 0.405
26 Rh 0.750 0.750 0.583
27 Rh 0.750 0.750 0.950
28 Rh 0.750 0.941 0.405

Properties
Crystal system: orthorhombic
E_form (eV/atom): -0.845

***

Record 2
A plane-wave DFT calculation with PBE was carried out for a geometry-optimized RbNa2Te2 structure.

abc: 7.787 7.787 7.787
angles: 141.17 141.17 56.08
Sites, in units of the cell vectors:
1 Rb 0.000 0.000 0.000
2 Na 0.250 0.750 0.500
3 Na 0.750 0.250 0.500
4 Te 0.379 0.379 0.000
5 Te 0.621 0.621 0.000

Properties
Crystal system: tetragonal
E above lowest polymorph (meV per atom): 63
Formation energy (no corrections) (meV per atom): -785